PrCuHgPt: optimized geometry, PBE.

Cell and atoms, written as extended XYZ:
```
4
Lattice="0.000 3.473 3.473 3.473 0.000 3.473 3.473 3.473 0.000" Properties=species:S:1:pos:R:3 pbc="T T T"
Pr 0.000 0.000 0.000
Cu 5.209 5.209 5.209
Hg 3.473 3.473 3.473
Pt 1.736 1.736 1.736
```

Results
**Total moment**: 0.0 μB per cell
**Final energy**: -4.21 eV per atom
**Calculated volume**: 20.9 Å³/atom
**Calculated formation energy**: -1.62 eV/f.u.